*P*
A plane-wave DFT calculation with PBE was carried out for a geometry-optimized ZnCoH3 structure.

Cell and atoms, written as extended XYZ:
```
10
Lattice="4.543 0.000 0.000 0.000 2.656 0.000 -1.717 0.000 5.834" Properties=species:S:1:pos:R:3 pbc="T T T"
Zn 0.486 0.664 1.944
Zn 2.340 1.992 3.891
Co 0.224 0.664 4.659
Co 2.602 1.992 1.175
H -1.363 0.664 4.818
H 0.140 1.992 3.679
H -0.140 1.992 5.666
H 2.966 0.664 0.168
H 2.686 0.664 2.155
H 4.189 1.992 1.016
```

Calculated values
- N(E_F): 0.24 states/eV/atom


*Q*
A plane-wave DFT calculation with PBE was carried out for a geometry-optimized ZnCoH3 structure.

Cell and atoms, written as extended XYZ:
```
10
Lattice="4.313 -2.089 0.000 4.313 2.089 0.000 -2.818 0.000 4.054" Properties=species:S:1:pos:R:3 pbc="T T T"
Zn -0.706 0.000 1.023
Zn 6.514 0.000 3.030
Co 0.427 -0.002 3.310
Co 5.381 -0.002 0.743
H 0.754 1.042 2.027
H 2.159 1.041 0.005
H 3.751 0.001 0.804
H 2.057 0.001 3.250
H 3.649 1.041 4.049
H 5.054 1.042 2.027
```

Calculated values
- N(E_F): 0.26 states/eV/atom


Which structure is the least stable? The one labeled *P*.


*P*
A plane-wave DFT calculation with PBE was carried out for a geometry-optimized ZrCoH2 structure.

Cell and atoms, written as extended XYZ:
```
16
Lattice="4.010 0.000 0.000 0.000 4.010 0.000 0.000 0.000 9.436" Properties=species:S:1:pos:R:3 pbc="T T T"
Zr 0.000 0.000 0.000
Zr 0.000 2.005 2.359
Zr 2.005 0.000 7.077
Zr 2.005 2.005 4.718
Co 0.000 0.000 4.718
Co 0.000 2.005 7.077
Co 2.005 0.000 2.359
Co 2.005 2.005 0.000
H 0.581 1.003 5.897
H 1.003 2.586 8.256
H 1.003 3.430 3.538
H 1.424 1.003 1.179
H 2.586 3.008 1.179
H 3.008 0.581 3.538
H 3.008 1.424 8.256
H 3.430 3.008 5.897
```

Calculated values
- N(E_F): 0.67 states/eV/atom


*Q*
A plane-wave DFT calculation with PBE was carried out for a geometry-optimized ZrCoH2 structure.

Cell and atoms, written as extended XYZ:
```
16
Lattice="6.793 0.000 0.000 0.000 5.502 0.000 0.000 0.000 4.075" Properties=species:S:1:pos:R:3 pbc="T T T"
Zr 1.187 0.661 0.000
Zr 2.210 3.412 2.038
Zr 4.583 2.090 0.000
Zr 5.607 4.841 2.038
Co 0.250 3.640 0.004
Co 3.147 0.889 2.041
Co 3.646 4.614 0.004
Co 6.544 1.862 2.041
H 0.191 3.396 2.470
H 1.459 1.334 2.053
H 1.937 4.085 0.015
H 3.206 0.645 0.432
H 3.588 4.858 2.470
H 4.856 1.417 2.053
H 5.334 4.168 0.015
H 6.602 2.107 0.432
```

Calculated values
- N(E_F): 0.23 states/eV/atom


*R*
A plane-wave DFT calculation with PBE was carried out for a geometry-optimized ZrCoH2 structure.

Cell and atoms, written as extended XYZ:
```
16
Lattice="5.303 0.000 0.000 0.000 5.303 0.000 0.000 0.000 5.303" Properties=species:S:1:pos:R:3 pbc="T T T"
Zr 0.000 0.000 0.000
Zr 0.000 2.652 2.652
Zr 2.652 0.000 2.652
Zr 2.652 2.652 0.000
Co 0.000 0.000 2.652
Co 0.000 2.652 0.000
Co 2.652 0.000 0.000
Co 2.652 2.652 2.652
H 1.326 1.326 1.326
H 1.326 1.326 3.977
H 1.326 3.977 1.326
H 1.326 3.977 3.977
H 3.977 1.326 1.326
H 3.977 1.326 3.977
H 3.977 3.977 1.326
H 3.977 3.977 3.977
```

Calculated values
- N(E_F): 0.44 states/eV/atom


Which structure is the least stable? The one labeled *R*.


*P*
A plane-wave DFT calculation with PBE was carried out for a geometry-optimized Zr4Co2H structure.

Cell and atoms, written as extended XYZ:
```
14
Lattice="4.227 0.000 0.000 0.000 4.227 0.000 0.000 0.000 13.144" Properties=species:S:1:pos:R:3 pbc="T T T"
Zr 0.000 0.000 2.507
Zr 0.000 0.000 10.637
Zr 0.000 2.114 0.000
Zr 0.000 2.114 6.572
Zr 2.114 0.000 0.000
Zr 2.114 0.000 6.572
Zr 2.114 2.114 4.065
Zr 2.114 2.114 9.079
Co 0.000 0.000 4.835
Co 0.000 0.000 8.309
Co 2.114 2.114 1.737
Co 2.114 2.114 11.408
H 0.000 0.000 0.000
H 2.114 2.114 6.572
```

Calculated values
- N(E_F): 1.04 states/eV/atom


*Q*
A plane-wave DFT calculation with PBE was carried out for a geometry-optimized Zr4Co2H structure.

Cell and atoms, written as extended XYZ:
```
14
Lattice="12.961 0.000 0.000 0.000 3.457 0.000 -1.672 0.000 5.288" Properties=species:S:1:pos:R:3 pbc="T T T"
Zr 0.713 0.000 1.320
Zr 0.542 1.729 4.252
Zr 4.267 0.000 1.036
Zr 4.096 1.729 3.968
Zr 7.194 1.729 1.320
Zr 7.022 0.000 4.252
Zr 10.747 1.729 1.036
Zr 10.576 0.000 3.968
Co 2.496 1.729 1.714
Co 2.313 0.000 3.574
Co 8.977 0.000 1.714
Co 8.793 1.729 3.574
H -0.836 0.000 2.644
H 5.645 1.729 2.644
```

Calculated values
- N(E_F): 0.83 states/eV/atom


Which structure is the least stable? The one labeled *P*.


*P*
A plane-wave DFT calculation with PBE was carried out for a geometry-optimized ZrCoH structure.

Cell and atoms, written as extended XYZ:
```
3
Lattice="3.561 0.000 0.000 -1.780 3.084 0.000 0.000 0.000 3.274" Properties=species:S:1:pos:R:3 pbc="T T T"
Zr 0.000 0.000 0.000
Co 1.780 1.028 1.637
H 0.000 2.056 1.637
```

Calculated values
- N(E_F): 0.83 states/eV/atom


*Q*
A plane-wave DFT calculation with PBE was carried out for a geometry-optimized ZrCoH structure.

Cell and atoms, written as extended XYZ:
```
12
Lattice="3.189 0.000 0.000 0.000 3.196 0.000 0.000 0.000 14.128" Properties=species:S:1:pos:R:3 pbc="T T T"
Zr 0.000 0.000 0.000
Zr 0.000 0.000 3.525
Zr 0.000 1.598 7.064
Zr 0.000 1.598 10.589
Co 1.595 0.000 8.680
Co 1.595 0.000 12.020
Co 1.595 1.598 1.615
Co 1.595 1.598 4.956
H 1.595 0.000 7.059
H 1.595 0.000 10.334
H 1.595 1.598 14.123
H 1.595 1.598 3.270
```

Calculated values
- N(E_F): 0.72 states/eV/atom


*R*
A plane-wave DFT calculation with PBE was carried out for a geometry-optimized ZrCoH structure.

Cell and atoms, written as extended XYZ:
```
6
Lattice="4.574 0.000 0.000 0.000 3.176 0.000 0.000 0.000 4.752" Properties=species:S:1:pos:R:3 pbc="T T T"
Zr 1.143 0.000 1.182
Zr 3.430 0.000 3.569
Co 1.143 1.588 3.342
Co 3.430 1.588 1.410
H 0.000 1.588 0.000
H 2.287 1.588 0.000
```

Calculated values
- N(E_F): 0.53 states/eV/atom


Which structure is the least stable? The one labeled *P*.


*P*
A plane-wave DFT calculation with PBE was carried out for a geometry-optimized Zr2CoH2 structure.

Cell and atoms, written as extended XYZ:
```
10
Lattice="6.274 0.000 0.000 0.000 6.274 0.000 0.000 0.000 2.994" Properties=species:S:1:pos:R:3 pbc="T T T"
Zr 1.151 1.986 0.000
Zr 1.986 5.122 0.000
Zr 4.288 1.151 0.000
Zr 5.122 4.288 0.000
Co 0.000 0.000 1.497
Co 3.137 3.137 1.497
H 0.783 3.920 1.497
H 2.354 0.783 1.497
H 3.920 5.491 1.497
H 5.491 2.354 1.497
```

Calculated values
- N(E_F): 0.60 states/eV/atom


*Q*
A plane-wave DFT calculation with PBE was carried out for a geometry-optimized Zr2CoH2 structure.

Cell and atoms, written as extended XYZ:
```
10
Lattice="3.168 0.000 0.000 0.000 3.168 0.000 0.000 0.000 12.060" Properties=species:S:1:pos:R:3 pbc="T T T"
Zr 0.000 0.000 1.632
Zr 0.000 0.000 10.428
Zr 1.584 1.584 4.398
Zr 1.584 1.584 7.662
Co 0.000 0.000 6.030
Co 1.584 1.584 0.000
H 0.000 1.584 3.015
H 0.000 1.584 9.045
H 1.584 0.000 3.015
H 1.584 0.000 9.045
```

Calculated values
- N(E_F): 0.48 states/eV/atom


Which structure is the least stable? The one labeled *P*.


*P*
A plane-wave DFT calculation with PBE was carried out for a geometry-optimized Zr2CoH structure.

Cell and atoms, written as extended XYZ:
```
16
Lattice="6.024 0.000 0.000 0.000 6.024 0.000 0.000 0.000 6.625" Properties=species:S:1:pos:R:3 pbc="T T T"
Zr 1.160 1.506 0.828
Zr 1.506 4.172 2.484
Zr 1.506 4.863 5.797
Zr 1.852 1.506 4.140
Zr 4.172 4.518 4.140
Zr 4.518 1.160 5.797
Zr 4.518 1.852 2.484
Zr 4.863 4.518 0.828
Co 0.000 0.000 3.312
Co 0.000 3.012 4.969
Co 3.012 0.000 1.656
Co 3.012 3.012 0.000
H 0.000 0.000 0.000
H 0.000 3.012 1.656
H 3.012 0.000 4.969
H 3.012 3.012 3.312
```

Calculated values
- N(E_F): 1.00 states/eV/atom


*Q*
A plane-wave DFT calculation with PBE was carried out for a geometry-optimized Zr2CoH structure.

Cell and atoms, written as extended XYZ:
```
16
Lattice="6.195 0.000 0.000 0.000 6.195 0.000 0.000 0.000 6.195" Properties=species:S:1:pos:R:3 pbc="T T T"
Zr 1.549 1.549 1.549
Zr 1.549 1.549 4.647
Zr 1.549 4.647 1.549
Zr 1.549 4.647 4.647
Zr 4.647 1.549 1.549
Zr 4.647 1.549 4.647
Zr 4.647 4.647 1.549
Zr 4.647 4.647 4.647
Co 0.000 0.000 0.000
Co 0.000 3.098 3.098
Co 3.098 0.000 3.098
Co 3.098 3.098 0.000
H 0.000 0.000 3.098
H 0.000 3.098 0.000
H 3.098 0.000 0.000
H 3.098 3.098 3.098
```

Calculated values
- N(E_F): 0.26 states/eV/atom


*R*
A plane-wave DFT calculation with PBE was carried out for a geometry-optimized Zr2CoH structure.

Cell and atoms, written as extended XYZ:
```
12
Lattice="3.452 0.000 0.000 -1.726 2.990 0.000 0.000 0.000 17.727" Properties=species:S:1:pos:R:3 pbc="T T T"
Zr 0.000 0.000 4.340
Zr 0.000 0.000 13.387
Zr 0.000 1.993 7.478
Zr 0.000 1.993 16.158
Zr 1.726 0.997 1.569
Zr 1.726 0.997 10.249
Co 0.000 0.000 0.000
Co 0.000 1.993 11.818
Co 1.726 0.997 5.909
H 0.000 0.000 8.864
H 0.000 1.993 2.955
H 1.726 0.997 14.773
```

Calculated values
- N(E_F): 1.13 states/eV/atom


*S*
A plane-wave DFT calculation with PBE was carried out for a geometry-optimized Zr2CoH structure.

Cell and atoms, written as extended XYZ:
```
16
Lattice="3.336 0.000 0.000 0.000 6.167 0.000 0.000 0.000 11.781" Properties=species:S:1:pos:R:3 pbc="T T T"
Zr 0.000 0.000 2.630
Zr 0.000 0.000 9.151
Zr 0.000 1.540 5.891
Zr 0.000 4.627 5.891
Zr 1.668 1.544 0.000
Zr 1.668 3.084 3.260
Zr 1.668 3.084 8.521
Zr 1.668 4.624 0.000
Co 0.000 3.084 1.360
Co 0.000 3.084 10.421
Co 1.668 0.000 4.531
Co 1.668 0.000 7.250
H 0.000 3.084 4.516
H 0.000 3.084 7.265
H 1.668 0.000 1.375
H 1.668 0.000 10.406
```

Calculated values
- N(E_F): 0.62 states/eV/atom


Which structure is the least stable? The one labeled *Q*.


*P*
A plane-wave DFT calculation with PBE was carried out for a geometry-optimized HfCo6 structure.

Cell and atoms, written as extended XYZ:
```
14
Lattice="5.922 0.000 0.000 0.000 5.922 0.000 0.000 0.000 5.922" Properties=species:S:1:pos:R:3 pbc="T T T"
Hf 0.000 0.000 0.000
Hf 2.961 2.961 2.961
Co 0.000 1.481 2.961
Co 0.000 2.961 1.481
Co 0.000 2.961 4.442
Co 0.000 4.442 2.961
Co 1.481 0.000 2.961
Co 1.481 2.961 0.000
Co 2.961 0.000 1.481
Co 2.961 0.000 4.442
Co 2.961 1.481 0.000
Co 2.961 4.442 0.000
Co 4.442 0.000 2.961
Co 4.442 2.961 0.000
```

Calculated values
- N(E_F): 1.13 states/eV/atom


*Q*
A plane-wave DFT calculation with PBE was carried out for a geometry-optimized HfCo6 structure.

Cell and atoms, written as extended XYZ:
```
28
Lattice="7.668 0.000 0.000 0.000 4.682 0.000 0.000 0.000 9.640" Properties=species:S:1:pos:R:3 pbc="T T T"
Hf 1.862 1.171 0.586
Hf 1.972 3.512 5.406
Hf 5.695 1.171 4.234
Hf 5.806 3.512 9.054
Co 0.445 3.512 0.810
Co 0.535 0.046 2.971
Co 0.535 2.295 2.971
Co 0.748 1.171 5.035
Co 1.048 3.512 8.204
Co 1.418 1.171 7.292
Co 2.416 3.512 2.472
Co 2.786 1.171 3.384
Co 3.086 3.512 0.215
Co 3.299 2.387 7.791
Co 3.299 4.636 7.791
Co 3.389 1.171 5.630
Co 4.279 3.512 4.010
Co 4.369 0.046 1.849
Co 4.369 2.295 1.849
Co 4.582 1.171 9.425
Co 4.882 3.512 6.256
Co 5.252 1.171 7.168
Co 6.250 3.512 2.348
Co 6.620 1.171 1.436
Co 6.920 3.512 4.605
Co 7.133 2.387 6.670
Co 7.133 4.636 6.670
Co 7.223 1.171 8.830
```

Calculated values
- N(E_F): 1.23 states/eV/atom


*R*
A plane-wave DFT calculation with PBE was carried out for a geometry-optimized HfCo6 structure.

Cell and atoms, written as extended XYZ:
```
7
Lattice="5.213 0.000 0.000 0.000 5.213 0.000 0.000 0.000 5.213" Properties=species:S:1:pos:R:3 pbc="T T T"
Hf 0.000 0.000 0.000
Co 1.013 2.607 2.607
Co 2.607 1.013 2.607
Co 2.607 2.607 1.013
Co 2.607 2.607 4.200
Co 2.607 4.200 2.607
Co 4.200 2.607 2.607
```

Calculated values
- N(E_F): 1.37 states/eV/atom


Which structure is the least stable? The one labeled *R*.


*P*
A plane-wave DFT calculation with PBE was carried out for a geometry-optimized HfCo4 structure.

Cell and atoms, written as extended XYZ:
```
5
Lattice="4.460 0.000 0.000 0.000 4.460 0.000 0.000 0.000 4.460" Properties=species:S:1:pos:R:3 pbc="T T T"
Hf 0.000 0.000 0.000
Co 0.000 0.000 2.230
Co 0.000 2.230 0.000
Co 2.230 0.000 0.000
Co 2.230 2.230 2.230
```

Calculated values
- N(E_F): 1.18 states/eV/atom


*Q*
A plane-wave DFT calculation with PBE was carried out for a geometry-optimized HfCo4 structure.

Cell and atoms, written as extended XYZ:
```
5
Lattice="0.000 2.565 5.084 2.558 0.000 5.084 2.558 2.565 0.000" Properties=species:S:1:pos:R:3 pbc="T T T"
Hf 0.000 0.000 0.000
Co 1.279 1.283 2.542
Co 2.558 2.565 3.991
Co 2.558 2.565 6.177
Co 3.837 3.848 7.626
```

Calculated values
- N(E_F): 0.96 states/eV/atom


Which structure is the least stable? The one labeled *P*.


*P*
A plane-wave DFT calculation with PBE was carried out for a geometry-optimized Hf3CoHg structure.

Cell and atoms, written as extended XYZ:
```
5
Lattice="4.771 0.000 0.000 0.000 4.771 0.000 0.000 0.000 4.771" Properties=species:S:1:pos:R:3 pbc="T T T"
Hf 0.000 0.000 2.386
Hf 0.000 2.386 0.000
Hf 2.386 0.000 0.000
Co 0.000 0.000 0.000
Hg 2.386 2.386 2.386
```

Calculated values
- N(E_F): 1.34 states/eV/atom


*Q*
A plane-wave DFT calculation with PBE was carried out for a geometry-optimized Hf3CoHg structure.

Cell and atoms, written as extended XYZ:
```
20
Lattice="5.171 -3.094 0.000 5.171 3.094 0.000 -2.187 0.000 12.493" Properties=species:S:1:pos:R:3 pbc="T T T"
Hf 2.556 2.201 11.244
Hf 0.087 0.596 10.130
Hf 4.507 2.201 7.496
Hf 1.909 0.576 7.460
Hf 1.181 -0.596 3.883
Hf 3.003 -0.576 1.213
Hf 5.153 0.576 11.280
Hf 6.975 0.596 8.609
Hf 6.247 -0.576 5.033
Hf 3.649 -2.201 4.997
Hf 8.069 -0.596 2.363
Hf 5.600 -2.201 1.249
Co 2.586 1.547 0.000
Co 3.531 0.914 9.370
Co 1.492 -1.547 6.246
Co 4.625 -0.914 3.123
Hg 3.662 0.972 4.828
Hg 5.588 0.972 1.418
Hg 2.568 -0.972 11.075
Hg 4.494 -0.972 7.665
```

Calculated values
- N(E_F): 0.92 states/eV/atom


*R*
A plane-wave DFT calculation with PBE was carried out for a geometry-optimized Hf3CoHg structure.

Cell and atoms, written as extended XYZ:
```
10
Lattice="4.537 -3.080 0.000 4.537 3.080 0.000 -3.754 0.000 7.314" Properties=species:S:1:pos:R:3 pbc="T T T"
Hf -0.535 0.000 1.603
Hf -0.026 0.000 5.272
Hf 2.398 0.000 0.772
Hf 2.922 0.000 6.542
Hf 5.345 0.000 2.042
Hf 5.854 0.000 5.710
Co 4.537 1.275 0.000
Co 4.537 -1.275 0.000
Hg 2.660 1.374 3.657
Hg 2.660 -1.374 3.657
```

Calculated values
- N(E_F): 0.89 states/eV/atom


Which structure is the least stable? The one labeled *P*.